Model i:
GePbI2 after structural relaxation, computed with PBE.

Structure (POSCAR):
```
GePbI2
1.0
8.7081 0.0000 0.0000
0.0000 8.7081 0.0000
0.0000 0.0000 7.3433
Ge Pb I
4 4 8
Direct
0.0000 0.0000 0.0000 Ge
0.0000 0.5000 0.2500 Ge
0.5000 0.0000 0.7500 Ge
0.5000 0.5000 0.5000 Ge
0.0000 0.0000 0.5000 Pb
0.0000 0.5000 0.7500 Pb
0.5000 0.0000 0.2500 Pb
0.5000 0.5000 0.0000 Pb
0.2252 0.2500 0.1250 I
0.2500 0.7252 0.3750 I
0.2500 0.7748 0.8750 I
0.2748 0.2500 0.6250 I
0.7252 0.7500 0.6250 I
0.7500 0.2252 0.8750 I
0.7500 0.2748 0.3750 I
0.7748 0.7500 0.1250 I
```

Calculated values
- space group = I-42d, No. 122
- magnetization (μB/f.u.) = 0.00
- calculated volume (Å³ per cell) = 556.8

---

Model ii:
GePbI2 after structural relaxation, computed with PBE.

Structure (POSCAR):
```
GePbI2
1.0
7.9023 0.0000 0.0000
0.0000 7.9023 0.0000
0.0000 0.0000 7.9023
Ge Pb I
4 4 8
Direct
0.0000 0.0000 0.0000 Ge
0.0000 0.5000 0.5000 Ge
0.5000 0.0000 0.5000 Ge
0.5000 0.5000 0.0000 Ge
0.0000 0.0000 0.5000 Pb
0.0000 0.5000 0.0000 Pb
0.5000 0.0000 0.0000 Pb
0.5000 0.5000 0.5000 Pb
0.2500 0.2500 0.2500 I
0.2500 0.2500 0.7500 I
0.2500 0.7500 0.2500 I
0.2500 0.7500 0.7500 I
0.7500 0.2500 0.2500 I
0.7500 0.2500 0.7500 I
0.7500 0.7500 0.2500 I
0.7500 0.7500 0.7500 I
```

Calculated values
- space group = Fm-3m, No. 225
- magnetization (μB/f.u.) = 0.00
- calculated volume (Å³ per cell) = 493.5

---

Model iii:
GePbI2 after structural relaxation, computed with PBE.

Structure (POSCAR):
```
GePbI2
1.0
4.0171 0.0000 0.0000
-2.0085 3.4789 0.0000
0.0000 0.0000 31.6176
Ge Pb I
3 3 6
Direct
0.0000 0.0000 0.0000 Ge
0.3333 0.6667 0.6667 Ge
0.6667 0.3333 0.3333 Ge
0.0000 0.0000 0.5000 Pb
0.3333 0.6667 0.1667 Pb
0.6667 0.3333 0.8333 Pb
0.0000 0.0000 0.3955 I
0.0000 0.0000 0.6045 I
0.3333 0.6667 0.0622 I
0.3333 0.6667 0.2711 I
0.6667 0.3333 0.7289 I
0.6667 0.3333 0.9378 I
```

Calculated values
- space group = R-3m, No. 166
- magnetization (μB/f.u.) = 0.00
- calculated volume (Å³ per cell) = 441.9

---

Most stable of them? model iii.

---

Model i:
Ge2PbI after structural relaxation, computed with PBE.

Structure (POSCAR):
```
Ge2PbI
1.0
6.2287 0.0000 0.0000
0.0000 6.2287 0.0000
0.0000 0.0000 15.4413
Ge Pb I
8 4 4
Direct
0.2309 0.2500 0.1250 Ge
0.2500 0.7309 0.3750 Ge
0.2500 0.7691 0.8750 Ge
0.2691 0.2500 0.6250 Ge
0.7309 0.7500 0.6250 Ge
0.7500 0.2309 0.8750 Ge
0.7500 0.2691 0.3750 Ge
0.7691 0.7500 0.1250 Ge
0.0000 0.0000 0.0000 Pb
0.0000 0.5000 0.2500 Pb
0.5000 0.0000 0.7500 Pb
0.5000 0.5000 0.5000 Pb
0.0000 0.0000 0.5000 I
0.0000 0.5000 0.7500 I
0.5000 0.0000 0.2500 I
0.5000 0.5000 0.0000 I
```

Calculated values
- space group = I-42d, No. 122
- magnetization (μB/f.u.) = 0.00
- calculated volume (Å³ per cell) = 599.1

---

Model ii:
Ge2PbI after structural relaxation, computed with PBE.

Structure (POSCAR):
```
Ge2PbI
1.0
7.5105 0.0000 0.0000
0.0000 7.5105 0.0000
0.0000 0.0000 7.5105
Ge Pb I
8 4 4
Direct
0.2500 0.2500 0.2500 Ge
0.2500 0.2500 0.7500 Ge
0.2500 0.7500 0.2500 Ge
0.2500 0.7500 0.7500 Ge
0.7500 0.2500 0.2500 Ge
0.7500 0.2500 0.7500 Ge
0.7500 0.7500 0.2500 Ge
0.7500 0.7500 0.7500 Ge
0.0000 0.0000 0.0000 Pb
0.0000 0.5000 0.5000 Pb
0.5000 0.0000 0.5000 Pb
0.5000 0.5000 0.0000 Pb
0.0000 0.0000 0.5000 I
0.0000 0.5000 0.0000 I
0.5000 0.0000 0.0000 I
0.5000 0.5000 0.5000 I
```

Calculated values
- space group = Fm-3m, No. 225
- magnetization (μB/f.u.) = 0.00
- calculated volume (Å³ per cell) = 423.7

---

Most stable of them? model ii.

---

Model i:
GePb2I6 after structural relaxation, computed with PBE.

Structure (POSCAR):
```
GePb2I6
1.0
7.8737 0.0000 0.0000
-3.9369 6.8189 0.0000
0.0000 0.0000 7.6146
Ge Pb I
1 2 6
Direct
0.0000 0.0000 0.0000 Ge
0.3333 0.6667 0.0000 Pb
0.6667 0.3333 0.0000 Pb
0.0000 0.3116 0.2390 I
0.0000 0.6884 0.7610 I
0.3116 0.0000 0.2390 I
0.3116 0.3116 0.7610 I
0.6884 0.0000 0.7610 I
0.6884 0.6884 0.2390 I
```

Calculated values
- space group = P-31m, No. 162
- magnetization (μB/f.u.) = 0.00
- calculated volume (Å³ per cell) = 408.8

---

Model ii:
GePb2I6 after structural relaxation, computed with PBE.

Structure (POSCAR):
```
GePb2I6
1.0
7.5370 0.0000 0.0000
0.0000 7.5370 0.0000
0.0000 0.0000 14.0666
Ge Pb I
2 4 12
Direct
0.0000 0.0000 0.0000 Ge
0.5000 0.5000 0.5000 Ge
0.0000 0.0000 0.3346 Pb
0.0000 0.0000 0.6654 Pb
0.5000 0.5000 0.1654 Pb
0.5000 0.5000 0.8346 Pb
0.1939 0.1939 0.1569 I
0.1939 0.1939 0.8431 I
0.2139 0.2139 0.5000 I
0.2861 0.7139 0.0000 I
0.3061 0.6939 0.3431 I
0.3061 0.6939 0.6569 I
0.6939 0.3061 0.3431 I
0.6939 0.3061 0.6569 I
0.7139 0.2861 0.0000 I
0.7861 0.7861 0.5000 I
0.8061 0.8061 0.1569 I
0.8061 0.8061 0.8431 I
```

Calculated values
- space group = P4_2/mnm, No. 136
- magnetization (μB/f.u.) = 0.00
- calculated volume (Å³ per cell) = 799.1

---

Most stable of them? model i.

---

Model i:
GePbI4 after structural relaxation, computed with PBE.

Structure (POSCAR):
```
GePbI4
1.0
15.5537 0.0000 0.0000
0.0000 4.4517 0.0000
-1.6507 0.0000 7.6510
Ge Pb I
2 2 8
Direct
0.0000 0.0000 0.0000 Ge
0.5000 0.5000 0.0000 Ge
0.0000 0.5000 0.5000 Pb
0.5000 0.0000 0.5000 Pb
0.1154 0.5000 0.8994 I
0.1215 0.0000 0.3615 I
0.3785 0.5000 0.6385 I
0.3846 0.0000 0.1006 I
0.6154 0.0000 0.8994 I
0.6215 0.5000 0.3615 I
0.8785 0.0000 0.6385 I
0.8846 0.5000 0.1006 I
```

Calculated values
- space group = C2/m, No. 12
- magnetization (μB/f.u.) = 0.00
- calculated volume (Å³ per cell) = 529.8

---

Model ii:
GePbI4 after structural relaxation, computed with PBE.

Structure (POSCAR):
```
GePbI4
1.0
9.5333 -3.1330 0.0000
9.5333 3.1330 0.0000
-3.1787 0.0000 9.7011
Ge Pb I
2 2 8
Direct
0.1028 0.1028 0.1647 Ge
0.8972 0.8972 0.8353 Ge
0.2163 0.2163 0.7789 Pb
0.7837 0.7837 0.2211 Pb
0.0529 0.0529 0.8572 I
0.1438 0.1438 0.4708 I
0.2652 0.2652 0.1501 I
0.3869 0.3869 0.8233 I
0.6131 0.6131 0.1767 I
0.7348 0.7348 0.8499 I
0.8562 0.8562 0.5292 I
0.9471 0.9471 0.1428 I
```

Calculated values
- space group = C2/m, No. 12
- magnetization (μB/f.u.) = 0.00
- calculated volume (Å³ per cell) = 579.5

---

Most stable of them? model i.